## ErLu2Tl (PBE-GGA)

Data for an optimized crystal structure of ErLu2Tl.

Results
**M_tot**: 0.91 μB per formula unit
**Space group**: Fm-3m (225)
**E_tot**: -3.97 eV per atom
**Theoretical density**: 10.859 Mg/m³
**Density of states at the Fermi level**: 6.498 states/eV/f.u.

```
data_ErLu2Tl
_cell_length_a 7.614
_cell_length_b 7.614
_cell_length_c 7.614
_cell_angle_alpha 90.00
_cell_angle_beta 90.00
_cell_angle_gamma 90.00
_symmetry_space_group_name_H-M 'P 1'
_symmetry_Int_Tables_number 1
_symmetry_space_group_name_Hall 'P 1'
loop_
_atom_site_label
_atom_site_fract_x
_atom_site_fract_y
_atom_site_fract_z
_atom_site_occupancy
Er1 0.000 0.000 0.000 1
Er2 0.000 0.500 0.500 1
Er3 0.500 0.000 0.500 1
Er4 0.500 0.500 0.000 1
Lu1 0.250 0.250 0.250 1
Lu2 0.250 0.250 0.750 1
Lu3 0.250 0.750 0.250 1
Lu4 0.250 0.750 0.750 1
Lu5 0.750 0.250 0.250 1
Lu6 0.750 0.250 0.750 1
Lu7 0.750 0.750 0.250 1
Lu8 0.750 0.750 0.750 1
Tl1 0.000 0.000 0.500 1
Tl2 0.000 0.500 0.000 1
Tl3 0.500 0.000 0.000 1
Tl4 0.500 0.500 0.500 1
```